# 1
Density functional theory data (meta-GGA SCAN) for a crystal of Ca2SeCl relaxed with PBEsol.

For the density of states at the Fermi level, the calculation gives 5.2 states/eV per cell. Its raw formation energy is -1964 meV/atom.

The structure belongs to space group R-3m (No. 166, hexagonal axes); the cell edges are 4.1133, 4.1133 and 19.4703 Å and the angles 90.00°, 90.00° and 120.00°. The asymmetric unit holds Ca at (0.0000, 0.0000, 0.2479), Se at (0.0000, 0.0000, 0.5000) and Cl at (0.0000, 0.0000, 0.0000).


# 2
Density functional theory data (meta-GGA SCAN) for a crystal of La3TaCl6O4 relaxed with PBEsol.

For the density of states at the Fermi level, the calculation gives 0.0 states/eV per cell. Its raw formation energy is -3080 meV/atom.

The structure belongs to space group P6_3/m (No. 176); the cell edges are 12.7427, 12.7427 and 3.9763 Å and the angles 90.00°, 90.00° and 120.00°. The asymmetric unit holds La at (0.1146, 0.7184, 0.2500), Ta at (0.3333, 0.6667, 0.7500), Cl at (0.0719, 0.4452, 0.2500), Cl at (0.1015, 0.2473, 0.7500), O at (0.1997, 0.6924, 0.7500) and O at (0.3333, 0.6667, 0.2500).


# 3
Density functional theory data (meta-GGA SCAN) for a crystal of MnRuNO2 relaxed with PBEsol.

For the density of states at the Fermi level, the calculation gives 1.5 states/eV per cell. Its raw formation energy is -422 meV/atom.

The structure belongs to space group P4/mmm (No. 123); the cell edges are 3.889, 3.889 and 3.680 Å and the angles 90.00°, 90.00° and 90.00°. The asymmetric unit holds Mn at (0.000, 0.000, 0.000), Ru at (0.500, 0.500, 0.500), N at (0.500, 0.500, 0.000) and O at (0.000, 0.500, 0.500).


# 4
Density functional theory data (meta-GGA SCAN) for a crystal of Ca3Ru2N4 relaxed with PBEsol.

For the density of states at the Fermi level, the calculation gives 10.0 states/eV per cell. Its raw formation energy is -588 meV/atom.

The structure belongs to space group Pnna (No. 52); the cell edges are 5.905, 10.072 and 8.497 Å and the angles 90.00°, 90.00° and 90.00°. The asymmetric unit holds Ca at (0.125, 0.154, 0.078), Ca at (0.250, 0.000, 0.403), Ru at (0.191, 0.250, 0.750), Ru at (0.250, 0.000, 0.744), N at (0.028, 0.598, 0.316) and N at (0.082, 0.644, 0.859).